Entry from Alexandria via LeMat-Bulk: Re3TcW after structural relaxation (PBE).

Properties
Energy above the most stable polymorph in this dataset, eV per formula unit: 0.68
Energy of formation from the pure elements, eV per atom: 2.46

Structure (CIF):
```
data_Re3TcW
_cell_length_a 4.680
_cell_length_b 4.680
_cell_length_c 4.680
_cell_angle_alpha 90.00
_cell_angle_beta 90.00
_cell_angle_gamma 90.00
_space_group_name_H-M_alt 'P 1'
_space_group_IT_number 1
loop_
_space_group_symop_operation_xyz
'x,y,z'
loop_
_atom_site_label
_atom_site_type_symbol
_atom_site_fract_x
_atom_site_fract_y
_atom_site_fract_z
_atom_site_occupancy
Re1 Re 0.000 0.000 0.500 1
Re2 Re 0.000 0.500 0.000 1
Re3 Re 0.500 0.000 0.000 1
Tc1 Tc 0.500 0.500 0.500 1
W1 W 0.000 0.000 0.000 1
```